Here is crystalline CaAl4Os at its relaxed geometry from the Alexandria database. Energies are from PBE.

```
CaAl4Os
1.0
0.000 3.708 3.708
3.708 0.000 3.708
3.708 3.708 0.000
Ca Al Os
1 4 1
Direct
0.000 0.000 0.000
0.376 0.376 0.376
0.376 0.376 0.872
0.376 0.872 0.376
0.872 0.376 0.376
0.750 0.750 0.750
```

Summary:
Magnetic moment, μB per formula unit: 0.00
DFT total energy, eV/atom: -4.65
Symmetry: F-43m (216)
ΔE_f, meV per atom: 48